# 1
First-principles (PBE) data for a geometry-optimized Sc6Al5Re structure, as listed in the Alexandria database.

Values from the calculation:
ΔH_f (0 K) = -454.0 meV per atom

a = 7.492 Å, b = 7.492 Å, c = 6.705 Å
α = 90.00°, β = 90.00°, γ = 143.06°
Element x y z (fractional)
Sc: 0.000 0.000 0.245
Sc: 0.000 0.000 0.755
Sc: 0.337 0.663 0.243
Sc: 0.337 0.663 0.757
Sc: 0.663 0.337 0.243
Sc: 0.663 0.337 0.757
Al: 0.162 0.838 0.000
Al: 0.170 0.830 0.500
Al: 0.500 0.500 0.500
Al: 0.830 0.170 0.500
Al: 0.838 0.162 0.000
Re: 0.500 0.500 0.000



# 2
First-principles (PBE) data for a geometry-optimized ScAl4Re structure, as listed in the Alexandria database.

Values from the calculation:
ΔH_f (0 K) = -133.5 meV per atom
excess energy over the best structure of this formula in the dataset = 62 meV/atom

a = 5.119 Å, b = 5.119 Å, c = 5.119 Å
α = 60.00°, β = 60.00°, γ = 60.00°
Element x y z (fractional)
Sc: 0.000 0.000 0.000
Al: 0.125 0.625 0.625
Al: 0.625 0.125 0.625
Al: 0.625 0.625 0.125
Al: 0.625 0.625 0.625
Re: 0.250 0.250 0.250



# 3
First-principles (PBE) data for a geometry-optimized Sc2AlRe structure, as listed in the Alexandria database.

Values from the calculation:
ΔH_f (0 K) = -140.9 meV per atom

a = 3.372 Å, b = 3.372 Å, c = 6.684 Å
α = 90.00°, β = 90.00°, γ = 90.00°
Element x y z (fractional)
Sc: 0.000 0.000 0.000
Sc: 0.500 0.500 0.341
Al: 0.000 0.000 0.584
Re: 0.500 0.500 0.752



# 4
First-principles (PBE) data for a geometry-optimized ScAl4Re structure, as listed in the Alexandria database.

Values from the calculation:
ΔH_f (0 K) = -195.9 meV per atom
excess energy over the best structure of this formula in the dataset = 0 meV/atom

a = 6.952 Å, b = 6.952 Å, c = 6.208 Å
α = 113.12°, β = 113.12°, γ = 52.88°
Element x y z (fractional)
Sc: 0.207 0.207 0.396
Sc: 0.793 0.793 0.604
Al: 0.122 0.655 0.322
Al: 0.197 0.803 0.000
Al: 0.317 0.317 0.919
Al: 0.345 0.878 0.678
Al: 0.655 0.122 0.322
Al: 0.683 0.683 0.081
Al: 0.803 0.197 0.000
Al: 0.878 0.345 0.678
Re: 0.457 0.457 0.703
Re: 0.543 0.543 0.297



# 5
First-principles (PBE) data for a geometry-optimized ScAl2Re structure, as listed in the Alexandria database.

Values from the calculation:
ΔH_f (0 K) = 244.2 meV per atom

a = 9.916 Å, b = 9.916 Å, c = 9.916 Å
α = 157.25°, β = 157.25°, γ = 32.39°
Element x y z (fractional)
Sc: 0.000 0.000 0.000
Sc: 0.750 0.250 0.500
Al: 0.153 0.625 0.028
Al: 0.375 0.403 0.528
Al: 0.597 0.125 0.972
Al: 0.875 0.847 0.472
Re: 0.250 0.750 0.500
Re: 0.500 0.500 0.000



# 6
First-principles (PBE) data for a geometry-optimized Sc2AlRe structure, as listed in the Alexandria database.

Values from the calculation:
ΔH_f (0 K) = -124.8 meV per atom

a = 4.631 Å, b = 4.631 Å, c = 4.631 Å
α = 60.00°, β = 60.00°, γ = 60.00°
Element x y z (fractional)
Sc: 0.000 0.000 0.000
Sc: 0.250 0.250 0.250
Al: 0.500 0.500 0.500
Re: 0.750 0.750 0.750



# 7
First-principles (PBE) data for a geometry-optimized ScAl2Re structure, as listed in the Alexandria database.

Values from the calculation:
ΔH_f (0 K) = 49.8 meV per atom

a = 9.287 Å, b = 9.287 Å, c = 9.287 Å
α = 18.28°, β = 18.28°, γ = 18.28°
Element x y z (fractional)
Sc: 0.000 0.000 0.000
Al: 0.510 0.510 0.510
Al: 0.759 0.759 0.759
Re: 0.251 0.251 0.251



# 8
First-principles (PBE) data for a geometry-optimized ScAl2Re structure, as listed in the Alexandria database.

Values from the calculation:
ΔH_f (0 K) = -38.1 meV per atom

a = 2.869 Å, b = 2.869 Å, c = 8.600 Å
α = 90.00°, β = 90.00°, γ = 106.73°
Element x y z (fractional)
Sc: 0.000 0.000 0.000
Al: 0.000 0.000 0.470
Al: 0.500 0.500 0.721
Re: 0.500 0.500 0.248